Computed, not measured: a relaxed structure of HoB4Ru at the GGA-PBEsol level of DFT.

Properties
Raw total energy in eV per cell: -189.65
SG: No. 55
Calculated formation energy in kJ per mole of atoms: -67.9

Unit cell a=5.9115 b=11.4342 c=3.4967 alpha=90.00 beta=90.00 gamma=90.00
Element x y z (fractional)
Ho 0.1286 0.1499 0.0000
Ho 0.3714 0.6499 0.0000
Ho 0.6286 0.3501 0.0000
Ho 0.8714 0.8501 0.0000
B 0.0238 0.6922 0.5000
B 0.1125 0.5470 0.5000
B 0.1358 0.9694 0.5000
B 0.2109 0.8144 0.5000
B 0.2891 0.3144 0.5000
B 0.3642 0.4694 0.5000
B 0.3875 0.0470 0.5000
B 0.4762 0.1922 0.5000
B 0.5238 0.8078 0.5000
B 0.6125 0.9530 0.5000
B 0.6358 0.5306 0.5000
B 0.7109 0.6856 0.5000
B 0.7891 0.1856 0.5000
B 0.8642 0.0306 0.5000
B 0.8875 0.4530 0.5000
B 0.9762 0.3078 0.5000
Ru 0.1394 0.4078 0.0000
Ru 0.3606 0.9078 0.0000
Ru 0.6394 0.0922 0.0000
Ru 0.8606 0.5922 0.0000

Computed, not measured: a relaxed structure of HoB2Ru at the GGA-PBEsol level of DFT.

Properties
Raw total energy in eV per cell: -127.36
SG: No. 62
Calculated formation energy in kJ per mole of atoms: -64.7

Unit cell a=5.8198 b=5.2584 c=6.2727 alpha=90.00 beta=90.00 gamma=90.00
Element x y z (fractional)
Ho 0.0090 0.2500 0.1634
Ho 0.4910 0.7500 0.6634
Ho 0.5090 0.2500 0.3366
Ho 0.9910 0.7500 0.8366
B 0.1331 0.5827 0.4608
B 0.1331 0.9173 0.4608
B 0.3669 0.0827 0.9608
B 0.3669 0.4173 0.9608
B 0.6331 0.5827 0.0392
B 0.6331 0.9173 0.0392
B 0.8669 0.0827 0.5392
B 0.8669 0.4173 0.5392
Ru 0.1814 0.2500 0.6816
Ru 0.3186 0.7500 0.1816
Ru 0.6814 0.2500 0.8184
Ru 0.8186 0.7500 0.3184

Computed, not measured: a relaxed structure of HoB2Ru3 at the GGA-PBEsol level of DFT.

Properties
Raw total energy in eV per cell: -52.43
SG: No. 191
Calculated formation energy in kJ per mole of atoms: -47.2

Unit cell a=5.4379 b=5.4379 c=2.9890 alpha=90.00 beta=90.00 gamma=120.00
Element x y z (fractional)
Ho 0.0000 0.0000 0.0000
B 0.3333 0.6667 0.0000
B 0.6667 0.3333 0.0000
Ru 0.0000 0.5000 0.5000
Ru 0.5000 0.0000 0.5000
Ru 0.5000 0.5000 0.5000

Computed, not measured: a relaxed structure of HoB4Ru4 at the GGA-PBEsol level of DFT.

Properties
Raw total energy in eV per cell: -313.79
SG: No. 142
Calculated formation energy in kJ per mole of atoms: -50.8

Unit cell a=9.0956 b=9.0956 c=9.0956 alpha=132.03 beta=132.03 gamma=70.18
Element x y z (fractional)
Ho 0.1250 0.3750 0.7500
Ho 0.3750 0.1250 0.2500
Ho 0.6250 0.8750 0.7500
Ho 0.8750 0.6250 0.2500
B 0.0654 0.1241 0.2767
B 0.1241 0.3474 0.0587
B 0.1526 0.3759 0.4413
B 0.2113 0.9346 0.5587
B 0.2887 0.8474 0.7233
B 0.3474 0.7887 0.2233
B 0.3759 0.4346 0.2233
B 0.4346 0.7113 0.0587
B 0.5654 0.2887 0.9413
B 0.6241 0.5654 0.7767
B 0.6526 0.2113 0.7767
B 0.7113 0.1526 0.2767
B 0.7887 0.0654 0.4413
B 0.8474 0.6241 0.5587
B 0.8759 0.6526 0.9413
B 0.9346 0.8759 0.7233
Ru 0.0387 0.8209 0.9861
Ru 0.0526 0.0387 0.7178
Ru 0.1652 0.6791 0.7178
Ru 0.1791 0.6652 0.2178
Ru 0.3209 0.5387 0.4861
Ru 0.3348 0.0526 0.5139
Ru 0.4474 0.1652 0.9861
Ru 0.4613 0.4474 0.7822
Ru 0.5387 0.5526 0.2178
Ru 0.5526 0.8348 0.0139
Ru 0.6652 0.9474 0.4861
Ru 0.6791 0.4613 0.5139
Ru 0.8209 0.3348 0.7822
Ru 0.8348 0.3209 0.2822
Ru 0.9474 0.9613 0.2822
Ru 0.9613 0.1791 0.0139